No. 1
{"formula": "CdBi2As2", "functional": "PBE", "state": "optimized geometry", "lattice_angstrom": [[-2.8980, -3.9784, -1.7369], [2.6051, -3.2643, 3.1306], [-4.0646, -2.6383, 4.9824]], "species": ["Cd", "Bi", "As", "Bi", "As"], "frac_coords": [[0.0000, 0.0000, 0.0000], [0.3580, 0.3580, 0.2839], [0.2500, 0.7500, 0.5000], [0.6420, 0.6420, 0.7161], [0.7500, 0.2500, 0.5000]], "relative_energy_mev_per_atom": 99, "total_energy_ev_per_atom": -3.378, "e_form_mev_per_atom": 218, "m_tot_mub_per_cell": 0.00, "density_g_cm3": 7.0}

No. 2
{"formula": "CdBi2As2", "functional": "PBE", "state": "optimized geometry", "lattice_angstrom": [[-1.8935, -2.1277, 7.8253], [6.0526, -5.7188, -0.0904], [2.5089, 2.6344, 1.3234]], "species": ["Bi", "Bi", "As", "As", "Cd", "Bi", "Cd", "Bi", "As", "As"], "frac_coords": [[0.8460, 0.6540, 0.0000], [0.6540, 0.1540, 0.0000], [0.8435, 0.3435, 0.5000], [0.3435, 0.1565, 0.5000], [0.5000, 0.5000, 0.0000], [0.3460, 0.8460, 0.0000], [0.0000, 0.0000, 0.0000], [0.1540, 0.3460, 0.0000], [0.6565, 0.8435, 0.5000], [0.1565, 0.6565, 0.5000]], "relative_energy_mev_per_atom": 113, "total_energy_ev_per_atom": -3.363, "e_form_mev_per_atom": 232, "m_tot_mub_per_cell": 0.00, "density_g_cm3": 8.4}